Entry from Alexandria via LeMat-Bulk: a geometry-optimized Cs2CdFe3F12 structure (PBE with a Hubbard U).

Summary:
Total magnetization = 14.00 μB per formula unit
Crystal system = trigonal
D(E_F) = 0.328 states/eV per atom
Final energy = -87.79 eV/f.u.

a b c (Å): 7.6232 7.6232 7.6232
angles (deg): 59.97 59.97 59.97
With the nearest neighbours (Å) after each atom.
Fractional coordinates of all 18 atoms:
Cs  0.1204  0.1204  0.1204  6 F 3.17-3.40
Cs  0.8796  0.8796  0.8796  6 F 3.17-3.40
Cd  0.5000  0.5000  0.5000  6 F 2.27
Fe  0.0000  0.5000  0.5000  6 F 1.97-2.00
Fe  0.5000  0.0000  0.5000  6 F 1.97-2.00
Fe  0.5000  0.5000  0.0000  6 F 1.97-2.00
F  0.1427  0.5859  0.5859  1 Fe 1.97
F  0.1951  0.1951  0.5771  2 Fe 2.00
F  0.1951  0.5771  0.1951  2 Fe 2.00
F  0.4141  0.4141  0.8573  1 Fe 1.97
F  0.4141  0.8573  0.4141  1 Fe 1.97
F  0.4229  0.8049  0.8049  2 Fe 2.00
F  0.5771  0.1951  0.1951  2 Fe 2.00
F  0.5859  0.1427  0.5859  1 Fe 1.97
F  0.5859  0.5859  0.1427  1 Fe 1.97
F  0.8049  0.4229  0.8049  2 Fe 2.00
F  0.8049  0.8049  0.4229  2 Fe 2.00
F  0.8573  0.4141  0.4141  1 Fe 1.97